Computed, not measured: an optimized crystal structure of Na2BeZn at the PBE level of DFT.

Cell lengths 4.9434, 4.9434, 4.9434 Å; angles 60.00, 60.00, 60.00 degrees
Atoms (fractional coordinates):
Na  0.2500  0.2500  0.2500
Na  0.7500  0.7500  0.7500
Be  0.0000  0.0000  0.0000
Zn  0.5000  0.5000  0.5000

M_tot ... 0.00 μB/cell
ΔE_f ... 552 meV/atom
Energy above the lowest structure with this stoichiometry ... 92 meV/atom
D(E_F) ... 0.482 states/eV per atom